No. 1
Density functional theory data (PBE) for an optimized crystal structure of Cd2InAs.

a b c (Å): 4.6506 4.6506 8.5737
angles (deg): 90.00 90.00 90.00
Space group I4/mmm (No. 139)
Asymmetric unit:
Cd1 0.0000 0.5000 0.2500 [4 per cell]
In1 0.0000 0.0000 0.0000 [2 per cell]
As1 0.0000 0.0000 0.5000 [2 per cell]



No. 2
Density functional theory data (PBE) for an optimized crystal structure of Cd2InAs.

a b c (Å): 7.2586 7.2586 7.2586
angles (deg): 90.00 90.00 90.00
Space group F-43m (No. 216)
Asymmetric unit:
Cd1 0.0000 0.0000 0.0000 [4 per cell]
Cd2 0.2500 0.2500 0.2500 [4 per cell]
In1 0.0000 0.0000 0.5000 [4 per cell]
As1 0.2500 0.2500 0.7500 [4 per cell]



No. 3
Density functional theory data (PBE) for an optimized crystal structure of Cd3InAs.

a b c (Å): 5.4588 5.4588 5.4588
angles (deg): 90.00 90.00 90.00
Space group Pm-3m (No. 221)
Asymmetric unit:
Cd1 0.0000 0.0000 0.5000 [3 per cell]
In1 0.0000 0.0000 0.0000 [1 per cell]
As1 0.5000 0.5000 0.5000 [1 per cell]



No. 4
Density functional theory data (PBE) for an optimized crystal structure of Cd2InAs.

a b c (Å): 4.2905 4.9608 8.7640
angles (deg): 90.00 90.00 90.00
Space group Cmmm (No. 65)
Asymmetric unit:
Cd1 0.0000 0.0000 0.2337 [4 per cell]
In1 0.0000 0.5000 0.5000 [2 per cell]
As1 0.0000 0.5000 0.0000 [2 per cell]



No. 5
Density functional theory data (PBE) for an optimized crystal structure of Cd2InAs.

a b c (Å): 4.3010 4.4497 4.8543
angles (deg): 90.00 90.00 90.00
Space group Pmmm (No. 47)
Asymmetric unit:
Cd1 0.0000 0.0000 0.0000 [1 per cell]
Cd2 0.5000 0.0000 0.5000 [1 per cell]
In1 0.0000 0.5000 0.5000 [1 per cell]
As1 0.5000 0.5000 0.0000 [1 per cell]



No. 6
Density functional theory data (PBE) for an optimized crystal structure of Cd2In2As.

a b c (Å): 3.9874 3.9874 16.5266
angles (deg): 90.00 90.00 90.00
Space group I4/mmm (No. 139)
Asymmetric unit:
Cd1 0.0000 0.5000 0.2500 [4 per cell]
In1 0.0000 0.0000 0.0899 [4 per cell]
As1 0.0000 0.0000 0.5000 [2 per cell]



No. 7
Density functional theory data (PBE) for an optimized crystal structure of Cd2InAs.

a b c (Å): 2.9665 4.0699 8.0667
angles (deg): 90.00 90.11 90.00
Space group P2/m (No. 10)
Asymmetric unit:
Cd1 0.0046 0.0000 0.2588 [2 per cell]
In1 0.5000 0.5000 0.0000 [1 per cell]
As1 0.0000 0.5000 0.5000 [1 per cell]



No. 8
Density functional theory data (PBE) for an optimized crystal structure of Cd5In12As3.

a b c (Å): 17.0476 17.0476 17.0476
angles (deg): 90.00 90.00 90.00
Space group Ia-3d (No. 230)
Asymmetric unit:
Cd1 0.0000 0.0000 0.0000 [16 per cell]
Cd2 0.0000 0.2500 0.3750 [24 per cell]
In1 0.0158 0.0818 0.6511 [96 per cell]
As1 0.0000 0.2500 0.1250 [24 per cell]



| no. | D(E_F) (states/eV/atom) | ΔH_f (0 K) (eV per formula unit) |
| --- | --- | --- |
| 1 | 0.40 | 0.448 |
| 2 | 0.38 | 0.473 |
| 3 | 0.55 | 3.189 |
| 4 | 0.35 | 0.481 |
| 5 | 0.31 | 0.440 |
| 6 | 0.61 | 0.928 |
| 7 | 0.35 | 0.356 |
| 8 | 0.43 | 2.771 |